Ga2Cu2Pb after structural relaxation, computed with PBE.

Its energy above the most stable polymorph in this dataset is 97 meV/atom. The calculation puts the electronic total energy at -3.45 eV/atom. Its density of states at the Fermi level is 2.0 states/eV/f.u. As for the crystal system: tetragonal. For the formation energy from the elements, the calculation gives 141.5 meV/atom.

It has space group P4/mbm (No. 127), with a = 7.861 Å, b = 7.861 Å, c = 2.904 Å, α = 90.00°, β = 90.00° and γ = 90.00°. The inequivalent atoms are Ga at (0.128, 0.372, 0.000), Cu at (0.163, 0.663, 0.500) and Pb at (0.000, 0.000, 0.000).